1.
! SCAN CsAgSnN2, single point on PBEsol structure; values from VASP
! E_tot, eV per atom: -22.418
&SYSTEM
  ibrav = 0, nat = 5, ntyp = 4
/
ATOMIC_SPECIES
Cs 132.91 Cs.upf
Ag 107.87 Ag.upf
Sn 118.71 Sn.upf
N 14.01 N.upf
CELL_PARAMETERS angstrom
4.4588 0.0000 0.0000
0.0000 4.4588 0.0000
0.0000 0.0000 5.6740
ATOMIC_POSITIONS crystal
Cs 0.0000 0.0000 0.0000
Ag 0.0000 0.0000 0.5000
Sn 0.5000 0.5000 0.5000
N 0.0000 0.5000 0.0000
N 0.5000 0.0000 0.0000

2.
! SCAN CsAgTe2N, single point on PBEsol structure; values from VASP
! E_tot, eV per atom: -30.021
&SYSTEM
  ibrav = 0, nat = 5, ntyp = 4
/
ATOMIC_SPECIES
Cs 132.91 Cs.upf
Ag 107.87 Ag.upf
Te 127.60 Te.upf
N 14.01 N.upf
CELL_PARAMETERS angstrom
6.0707 0.0000 0.0000
0.0000 6.0707 0.0000
0.0000 0.0000 3.8827
ATOMIC_POSITIONS crystal
Cs 0.0000 0.0000 0.0000
Ag 0.5000 0.5000 0.5000
Te 0.0000 0.5000 0.5000
Te 0.5000 0.0000 0.5000
N 0.5000 0.5000 0.0000

3.
! SCAN CsNa3Ag, single point on PBEsol structure; values from VASP
! Formation energy, eV/atom: 0.06
! E_tot, eV per atom: -16.306
! Energy above the most stable polymorph in this dataset, meV per atom: 0
&SYSTEM
  ibrav = 0, nat = 5, ntyp = 3
/
ATOMIC_SPECIES
Cs 132.91 Cs.upf
Na 22.99 Na.upf
Ag 107.87 Ag.upf
CELL_PARAMETERS angstrom
5.9101 0.0000 0.0000
0.0000 5.9101 0.0000
0.0000 0.0000 5.9101
ATOMIC_POSITIONS crystal
Cs 0.0000 0.0000 0.0000
Na 0.0000 0.5000 0.5000
Na 0.5000 0.0000 0.5000
Na 0.5000 0.5000 0.0000
Ag 0.5000 0.5000 0.5000

Question: Which of these has the lowest E_tot?
Answer: CsAgTe2N